{"formula": "Ac3LaTm", "functional": "PBE", "state": "relaxed", "cell": [[6.234, -3.779, 0.000], [6.234, 3.779, 0.000], [-3.120, 0.000, 8.774]], "species": ["Ac", "Ac", "Ac", "Ac", "Ac", "Ac", "La", "La", "Tm", "Tm"], "fractional_positions": [[0.095, 0.596, 0.883], [0.241, 0.241, 0.501], [0.404, 0.905, 0.117], [0.596, 0.095, 0.883], [0.759, 0.759, 0.499], [0.905, 0.404, 0.117], [0.445, 0.445, 0.278], [0.555, 0.555, 0.722], [0.059, 0.059, 0.734], [0.941, 0.941, 0.266]], "spacegroup": "No. 12", "e_tot_ha_per_atom": -0.1531, "delta_e_f_ev_per_atom": 0.18}